1.
A plane-wave DFT calculation with PBE was carried out for a relaxed structure of CeErLuIn.

abc: 5.340 5.340 5.340
angles: 60.00 60.00 60.00
Last column: magnetic moment on the atom in μB.
Element x y z (fractional)
Er  0.000  0.000  0.000  0.00
Lu  0.500  0.500  0.500  0.00
In  0.250  0.250  0.250  0.00
Ce  0.750  0.750  0.750  0.06

Crystal system = cubic
N(E_F) = 1.45 states/eV per atom
V = 26.9 A^3/atom
E_form = -0.048 eV per atom
Calculated total energy = -17.9 eV/cell
Calculated density = 9.21 g cm⁻³

2.
A plane-wave DFT calculation with PBE was carried out for a relaxed structure of CeErMgIn.

abc: 5.357 5.357 5.357
angles: 60.00 60.00 60.00
Last column: magnetic moment on the atom in μB.
Element x y z (fractional)
In  0.500  0.500  0.500  -0.01
Er  0.750  0.750  0.750  0.03
Mg  0.000  0.000  0.000  0.01
Ce  0.250  0.250  0.250  0.73

Crystal system = cubic
N(E_F) = 2.33 states/eV per atom
V = 27.2 A^3/atom
E_form = -0.222 eV per atom
Calculated total energy = -15.7 eV/cell
Calculated density = 6.82 g cm⁻³

3.
A plane-wave DFT calculation with PBE was carried out for a relaxed structure of Ce2ErMg2In2.

abc: 4.870 4.870 9.211
angles: 74.67 74.67 60.00
Last column: magnetic moment on the atom in μB.
Element x y z (fractional)
In  0.729  0.729  0.812  -0.02
In  0.271  0.271  0.188  -0.02
Ce  0.858  0.858  0.427  1.01
Ce  0.142  0.142  0.573  1.01
Mg  0.406  0.406  0.782  0.00
Mg  0.594  0.594  0.218  0.00
Er  0.000  0.000  0.000  0.06

Crystal system = trigonal
N(E_F) = 1.73 states/eV per atom
V = 25.7 A^3/atom
E_form = -0.171 eV per atom
Calculated total energy = -26.3 eV/cell
Calculated density = 6.69 g cm⁻³